Here is a relaxed K2LiUCl6 crystal from Alexandria. Energies are from GGA-PBE.

Properties
The total DFT energy (no corrections) comes out at -265.79 eV for the cell shown. The energy relative to the elements, uncorrected comes out at -172 kJ per mole of atoms.

Unit cell a=7.3541 b=7.3541 c=39.1734 alpha=90.00 beta=90.00 gamma=120.00
Closest atoms and distances in Å follow each position.
Space group R-3m (No. 166, hexagonal axes)
Unique sites:
K (0.0000, 0.0000, 0.1427) (multiplicity 6)  3 Cl 3.30
K (0.0000, 0.0000, 0.3047) (multiplicity 6)  9 Cl 3.39-3.70
Li (0.0000, 0.0000, 0.0000) (multiplicity 3)  6 Cl 2.57
Li (0.0000, 0.0000, 0.5000) (multiplicity 3)  6 Cl 2.60
U (0.0000, 0.0000, 0.4144) (multiplicity 6)  6 Cl 2.73-2.75
Cl (0.0051, 0.5025, 0.7049) (multiplicity 18)  1 Li 2.57, 1 U 2.73
Cl (0.0061, 0.5030, 0.1268) (multiplicity 18)  1 Li 2.60, 1 U 2.75